P:
Here is crystalline NaHgSb2I at its relaxed geometry from the Alexandria database. Energies are from GGA-PBE.

```
data_NaHgSb2I
_cell_length_a 5.6457
_cell_length_b 5.6457
_cell_length_c 5.8059
_cell_angle_alpha 90.00
_cell_angle_beta 90.00
_cell_angle_gamma 90.00
_symmetry_space_group_name_H-M 'P 4/m m m'
_symmetry_Int_Tables_number 123
_symmetry_space_group_name_Hall '-P 4 2'
loop_
_atom_site_label
_atom_site_type_symbol
_atom_site_fract_x
_atom_site_fract_y
_atom_site_fract_z
Na1 Na 0.0000 0.0000 0.0000
Hg1 Hg 0.5000 0.5000 0.5000
Sb1 Sb 0.0000 0.5000 0.0000
I1 I 0.0000 0.0000 0.5000
```

Results
**M_tot**: 1.23 μB per cell
**Theoretical density**: 5.330 g cm⁻³


Q:
Here is crystalline NaHgSb2I at its relaxed geometry from the Alexandria database. Energies are from GGA-PBE.

```
data_NaHgSb2I
_cell_length_a 5.5587
_cell_length_b 5.5587
_cell_length_c 6.9261
_cell_angle_alpha 90.00
_cell_angle_beta 90.00
_cell_angle_gamma 90.00
_symmetry_space_group_name_H-M 'P 4/m m m'
_symmetry_Int_Tables_number 123
_symmetry_space_group_name_Hall '-P 4 2'
loop_
_atom_site_label
_atom_site_type_symbol
_atom_site_fract_x
_atom_site_fract_y
_atom_site_fract_z
Na1 Na 0.0000 0.0000 0.0000
Hg1 Hg 0.5000 0.5000 0.5000
Sb1 Sb 0.0000 0.5000 0.5000
I1 I 0.5000 0.5000 0.0000
```

Results
**M_tot**: 1.80 μB per cell
**Theoretical density**: 4.609 g cm⁻³


Looking at the structures above, Q is most stable, and the difference to the next one is 293 meV per atom.